MgFe8O8F8: optimized geometry, PBE+U.

Calculated values
Symmetry: P1
E_tot (eV/atom): -5.66
Energy relative to the lowest polymorph listed for this composition (eV/atom): 0.2712
Crystal system: triclinic

Cell and atoms, written as extended XYZ:
```
25
Lattice="-4.5451 -2.0405 0.1939 1.1771 -2.3105 -4.3406 4.5795 -9.0535 5.9661" Properties=species:S:1:pos:R:3 pbc="T T T"
Mg 1.1834 -7.8101 4.3907
F 0.6936 -9.8633 4.7306
Fe -3.2604 -4.1939 -3.8722
O -3.0520 -3.2398 0.2299
O 1.6625 -5.6321 -1.3404
Fe 0.2030 -5.5528 -0.1183
O 2.9426 -8.1225 0.0044
Fe 0.8690 -2.4802 1.3454
O -2.4341 -2.9823 -2.6131
F 1.3730 -5.6679 1.4674
F 1.1741 -9.9669 1.5965
F -0.9767 -1.4253 -1.1911
F -0.3760 -7.6183 3.1783
F -1.9669 -5.4280 1.6801
O 2.5011 -8.3167 3.0578
Fe -1.1976 -8.6267 -0.8834
O -0.1045 -7.3944 0.1189
O 4.0436 -10.3870 1.5893
F 0.5790 -3.4976 -2.7952
Fe 3.4126 -6.9140 4.3450
Fe 2.7782 -10.2022 2.9987
Fe 1.4032 -7.7395 1.4235
Fe -1.5559 -3.3608 -0.9458
O -0.0730 -3.6950 0.1495
F -1.3678 -5.2932 -1.3142
```